AlV3Sb | PBE | optimized geometry

Summary:
energy above the lowest structure with this stoichiometry	0	meV per atom
symmetry	Pm-3m
calculated total energy	-30.49	eV for the cell shown
formation energy from raw total energies	947	meV/atom

Unit cell a=4.5354 b=4.5354 c=4.5354 alpha=90.00 beta=90.00 gamma=90.00
Closest atoms and distances in Å follow each position.
Sites, in units of the cell vectors:
Al (0.0000, 0.0000, 0.0000)  6 V 2.27
V (0.0000, 0.0000, 0.5000)  2 Al 2.27
V (0.5000, 0.0000, 0.0000)  2 Al 2.27
V (0.0000, 0.5000, 0.0000)  2 Al 2.27
Sb (0.5000, 0.5000, 0.5000)  12 V 3.21